Record 1
NaTl2P | PBE-GGA | relaxed

Properties
Density of states at the Fermi level = 0.00 states/eV/f.u.
Calculated formation energy = -0.03 eV/atom
SG = I-42d, No. 122
Crystal system = tetragonal
Size of the total moment = 0.0 μB/cell

Lattice parameters (Å, degrees): 8.9494 8.9494 6.9437 49.88 49.88 90.00
With the nearest neighbours (Å) after each atom.
Element x y z (fractional)
Na 0.5000 0.5000 0.0000  2 P 2.86
Na 0.2500 0.7500 0.5000  2 P 2.86
P 0.0000 0.0000 0.0000  4 Tl 2.82, 2 Na 2.86
P 0.7500 0.2500 0.5000  4 Tl 2.82, 2 Na 2.86
Tl 0.6999 0.1250 0.2500  2 P 2.82, 2 Tl 3.16
Tl 0.3750 0.3001 0.7500  2 P 2.82, 2 Tl 3.16
Tl 0.8750 0.9499 0.7500  2 P 2.82, 2 Tl 3.16
Tl 0.0501 0.6250 0.2500  2 P 2.82, 2 Tl 3.16

Record 2
Cr2ReRh | PBE-GGA | relaxed

Properties
Density of states at the Fermi level = 4.76 states/eV/f.u.
Calculated formation energy = 0.09 eV/atom
SG = Imm2, No. 44
Crystal system = orthorhombic
Size of the total moment = 0.0 μB/cell

Lattice parameters (Å, degrees): 4.9782 4.9782 4.9782 146.15 129.12 62.52
With the nearest neighbours (Å) after each atom.
Element x y z (fractional)
Cr 0.2297 0.7297 0.5000  2 Cr 2.28
Cr 0.0224 0.0224 0.0000  2 Cr 2.28
Rh 0.7626 0.2626 0.5000  6 Cr 2.60-2.64, 4 Re 2.77-2.86, 2 Rh 2.90
Re 0.4853 0.4853 0.0000  6 Cr 2.60-2.61, 4 Rh 2.77-2.86, 2 Re 2.90

Record 3
RbLaAsBr2 | PBE-GGA | relaxed

Properties
Density of states at the Fermi level = 3.91 states/eV/f.u.
SG = P4/mmm, No. 123
Crystal system = tetragonal
Size of the total moment = 0.1 μB/cell
Formation energy (no corrections) = -0.257 eV per atom

Lattice parameters (Å, degrees): 5.7248 5.7248 5.8261 90.00 90.00 90.00
With the nearest neighbours (Å) after each atom.
Element x y z (fractional)
La 0.5000 0.5000 0.5000  4 As 4.05, 8 Br 4.08
Rb 0.0000 0.0000 0.0000  4 Br 2.86, 2 As 2.91
As 0.0000 0.0000 0.5000  2 Rb 2.91
Br 0.5000 0.0000 0.0000  2 Rb 2.86
Br 0.0000 0.5000 0.0000  2 Rb 2.86

Q: Which formula does entry 1 have?
A: NaTl2P